Entry 1:
The following is a DFT calculation (GGA-PBE) of a geometry-optimized NaSn2PbS4 structure.

Cell: 8.116 11.369 8.399 Å, 90.00 90.00 90.00°
Space group Fmm2 (No. 42)
Asymmetric unit:
1 Na 0.000 0.000 0.000 [4 per cell]
2 Sn 0.250 0.250 0.234 [8 per cell]
3 Pb 0.000 0.000 0.497 [4 per cell]
4 S 0.000 0.246 0.022 [8 per cell]
5 S 0.249 0.000 0.753 [8 per cell]

Computed properties:
Crystal system: orthorhombic
Total DFT energy (no corrections), Ry per atom: -0.313
Formation energy without anion corrections, eV per atom: -0.5710
Density, Mg/m³: 5.107

Entry 2:
The following is a DFT calculation (GGA-PBE) of a geometry-optimized Dy2ZnTe4 structure.

Cell: 6.801 6.801 12.363 Å, 90.00 90.00 90.00°
Space group I-42m (No. 121)
Asymmetric unit:
1 Dy 0.000 0.500 0.250 [4 per cell]
2 Zn 0.000 0.000 0.000 [2 per cell]
3 Te 0.243 0.243 0.110 [8 per cell]

Computed properties:
Crystal system: tetragonal
Total DFT energy (no corrections), Ry per atom: -0.306
Formation energy without anion corrections, eV per atom: -0.8662
Density, Mg/m³: 5.231